# NdNbCu

An optimized crystal structure of NdNbCu (GGA-PBE, OQMD).

Values from the calculation:
For the formation energy from the elements, the calculation gives 1.02 eV/atom. The magnetic moment comes out at 3.18 μB per cell. The calculation puts the calculated density at 7.305 g/cm3.

Unit cell a=6.491 b=6.491 c=6.491 alpha=90.00 beta=90.00 gamma=90.00
Atoms (fractional coordinates):
Nd1 0.000 0.000 0.000
Nd2 0.000 0.500 0.500
Nd3 0.500 0.000 0.500
Nd4 0.500 0.500 0.000
Nb1 0.250 0.250 0.750
Nb2 0.250 0.750 0.250
Nb3 0.750 0.250 0.250
Nb4 0.750 0.750 0.750
Cu1 0.000 0.000 0.500
Cu2 0.000 0.500 0.000
Cu3 0.500 0.000 0.000
Cu4 0.500 0.500 0.500